No. 1
Computed, not measured: a relaxed structure of Hf4ZrH5 at the PBE level of DFT.

For the energy above the most stable polymorph in this dataset, the calculation gives 66 meV/atom. Its density of states at the Fermi level is 0.708 states/eV/atom.

The structure belongs to space group I4/m (No. 87); the cell edges are 7.099, 7.099 and 4.640 Å and the angles 90.00°, 90.00° and 90.00°. The asymmetric unit holds Hf at (0.098, 0.302, 0.000), Zr at (0.000, 0.000, 0.500), H at (0.000, 0.000, 0.000) and H at (0.100, 0.301, 0.500).

=====

No. 2
Computed, not measured: a relaxed structure of Hf3ZrH6 at the PBE level of DFT.

For the raw total energy, the calculation gives -6.243 eV per atom. Its density of states at the Fermi level is 0.339 states/eV/atom.

The structure belongs to space group R3 (No. 146, hexagonal axes); the cell edges are 5.2773, 5.2773 and 12.4871 Å and the angles 90.00°, 90.00° and 120.00°. The asymmetric unit holds Hf at (0.0000, 0.0000, 0.0000), Hf at (0.0000, 0.0000, 0.2430), Hf at (0.0000, 0.0000, 0.7455), Zr at (0.0000, 0.0000, 0.5026), H at (0.0637, 0.6701, 0.2935) and H at (0.0696, 0.4019, 0.7867).

=====

No. 3
Computed, not measured: a relaxed structure of HfZrH3 at the PBE level of DFT.

For the energy above the most stable polymorph in this dataset, the calculation gives 318 meV/atom. Its density of states at the Fermi level is 0.334 states/eV/atom.

The structure belongs to space group Pm-3m (No. 221); the cell edges are 3.752, 3.752 and 3.752 Å and the angles 90.00°, 90.00° and 90.00°. The asymmetric unit holds Hf at (0.000, 0.000, 0.000), Zr at (0.500, 0.500, 0.500) and H at (0.000, 0.500, 0.500).

=====

No. 4
Computed, not measured: a relaxed structure of Hf5Zr2H12 at the PBE level of DFT.

For the raw total energy, the calculation gives -5.925 eV per atom. Its density of states at the Fermi level is 0.272 states/eV/atom.

The structure belongs to space group C2/m (No. 12); the cell edges are 11.838, 5.899 and 6.230 Å and the angles 90.00°, 119.66° and 90.00°. The asymmetric unit holds Hf at (0.000, 0.000, 0.000), Hf at (0.219, 0.500, 0.375), Hf at (0.245, 0.500, 0.916), Zr at (0.000, 0.249, 0.500), H at (0.027, 0.500, 0.288), H at (0.080, 0.000, 0.385), H at (0.143, 0.287, 0.048) and H at (0.193, 0.298, 0.603).

=====

No. 5
Computed, not measured: a relaxed structure of Hg3H at the PBE level of DFT.

For the raw total energy, the calculation gives -0.856 eV per atom. Its density of states at the Fermi level is 0.215 states/eV/atom.

The structure belongs to space group Imm2 (No. 44); the cell edges are 5.636, 9.468 and 3.231 Å and the angles 90.00°, 90.00° and 90.00°. The asymmetric unit holds Hg at (0.000, 0.000, 0.000), Hg at (0.000, 0.301, 0.997) and H at (0.000, 0.500, 0.995).

=====

No. 6
Computed, not measured: a relaxed structure of Hg8H at the PBE level of DFT.

For the energy above the most stable polymorph in this dataset, the calculation gives 47 meV/atom. Its density of states at the Fermi level is 0.349 states/eV/atom.

The structure belongs to space group I4/mmm (No. 139); the cell edges are 10.941, 10.941 and 3.831 Å and the angles 90.00°, 90.00° and 90.00°. The asymmetric unit holds Hg at (0.000, 0.330, 0.000), Hg at (0.145, 0.145, 0.500) and H at (0.000, 0.000, 0.000).

=====

No. 7
Computed, not measured: a relaxed structure of Hg17H12 at the PBE level of DFT.

For the raw total energy, the calculation gives -1.285 eV per atom. Its density of states at the Fermi level is 0.065 states/eV/atom.

The structure belongs to space group I222 (No. 23); the cell edges are 10.028, 10.147 and 12.039 Å and the angles 90.00°, 90.00° and 90.00°. The asymmetric unit holds Hg at (0.000, 0.000, 0.000), Hg at (0.049, 0.219, 0.180), Hg at (0.123, 0.298, 0.592), Hg at (0.223, 0.082, 0.867), Hg at (0.250, 0.061, 0.380), H at (0.088, 0.022, 0.369), H at (0.088, 0.398, 0.891) and H at (0.154, 0.339, 0.273).

=====

No. 8
Computed, not measured: a relaxed structure of Hg2H at the PBE level of DFT.

For the raw total energy, the calculation gives -1.068 eV per atom. Its density of states at the Fermi level is 0.252 states/eV/atom.

The structure belongs to space group Cmcm (No. 63); the cell edges are 6.522, 6.712 and 5.490 Å and the angles 90.00°, 90.00° and 90.00°. The asymmetric unit holds Hg at (0.215, 0.124, 0.250) and H at (0.000, 0.389, 0.750).

=====

No. 9
Computed, not measured: a relaxed structure of Hg5H4 at the PBE level of DFT.

For the raw total energy, the calculation gives -1.617 eV per atom. Its density of states at the Fermi level is 0.135 states/eV/atom.

The structure belongs to space group I4/mmm (No. 139); the cell edges are 8.969, 8.969 and 4.866 Å and the angles 90.00°, 90.00° and 90.00°. The asymmetric unit holds Hg at (0.000, 0.000, 0.000), Hg at (0.177, 0.177, 0.500) and H at (0.000, 0.458, 0.000).

=====

No. 10
Computed, not measured: a relaxed structure of HgH3 at the PBE level of DFT.

For the raw total energy, the calculation gives -2.123 eV per atom. Its density of states at the Fermi level is 0.182 states/eV/atom.

The structure belongs to space group C2/m (No. 12); the cell edges are 5.774, 2.892 and 5.937 Å and the angles 90.00°, 117.97° and 90.00°. The asymmetric unit holds Hg at (0.000, 0.000, 0.000), H at (0.000, 0.500, 0.500) and H at (0.172, 0.500, 0.507).

=====

No. 11
Computed, not measured: a relaxed structure of HgH2 at the PBE level of DFT.

For the raw total energy, the calculation gives -1.969 eV per atom. Its density of states at the Fermi level is 0.000 states/eV/atom.

The structure belongs to space group I4/mmm (No. 139); the cell edges are 3.481, 3.481 and 8.849 Å and the angles 90.00°, 90.00° and 90.00°. The asymmetric unit holds Hg at (0.000, 0.000, 0.000) and H at (0.000, 0.000, 0.188).

=====

No. 12
Computed, not measured: a relaxed structure of HgH2 at the PBE level of DFT.

For the raw total energy, the calculation gives -1.967 eV per atom. Its density of states at the Fermi level is 0.000 states/eV/atom.

The structure belongs to space group P6_3/mmc (No. 194); the cell edges are 3.4920, 3.4920 and 9.7292 Å and the angles 90.00°, 90.00° and 120.00°. The asymmetric unit holds Hg at (0.3333, 0.6667, 0.2500) and H at (0.3333, 0.6667, 0.0787).

=====

- What is the formula in the sixth record?
  Hg8H

=====

- What is the formula in the ninth record?
  Hg5H4